VASP calculation (PBE) on an optimized crystal structure of TaMo2W2.

Energy of formation from the pure elements = 0.56 eV per atom

Unit cell a=7.4618 b=5.6833 c=4.7222 alpha=90.00 beta=119.35 gamma=90.00
Last column: nearest neighbours and their distance in Å.
Space group C2/m (No. 12)
Symmetry-distinct sites (fractional):
Ta 0.0000 0.0000 0.0000  2 W 2.72, 4 Mo 2.83
Mo 0.0000 0.2742 0.5000  2 W 2.56, 1 Mo 2.57, 2 Ta 2.83
W 0.1971 0.5000 0.1627  2 Mo 2.56, 1 W 2.57, 1 Ta 2.72